Arrangement one

Computed, not measured: a relaxed structure of Li2GeBr6 at the GGA-PBE level of DFT.

abc: 6.639 7.209 10.997
angles: 90.00 85.35 90.00
Sites, in units of the cell vectors:
Br 0.815 0.689 0.942
Br 0.366 0.567 0.790
Br 0.326 0.781 0.085
Br 0.634 0.433 0.210
Br 0.134 0.067 0.710
Br 0.174 0.281 0.415
Br 0.826 0.719 0.585
Br 0.674 0.219 0.915
Br 0.685 0.189 0.558
Br 0.866 0.933 0.290
Br 0.185 0.311 0.058
Br 0.315 0.811 0.442
Li 0.977 0.616 0.148
Li 0.523 0.116 0.352
Li 0.477 0.884 0.648
Li 0.023 0.384 0.852
Ge 0.500 0.500 0.000
Ge 0.000 0.000 0.500

Values from the calculation:
Space group   P2_1/c, No. 14
Magnetic moment   0.0 μB per cell
V   29.14 Å³/atom
Crystal system   monoclinic

Arrangement two

Computed, not measured: a relaxed structure of Li2GeBr6 at the GGA-PBE level of DFT.

abc: 6.289 10.580 10.580
angles: 91.64 72.60 72.60
Sites, in units of the cell vectors:
Br 0.632 0.660 0.831
Br 0.620 0.570 0.235
Br 0.380 0.430 0.765
Br 0.075 0.740 0.061
Br 0.368 0.340 0.169
Br 0.425 0.939 0.260
Br 0.925 0.260 0.939
Br 0.868 0.169 0.340
Br 0.575 0.061 0.740
Br 0.880 0.765 0.430
Br 0.120 0.235 0.570
Br 0.132 0.831 0.660
Ge 0.250 0.246 0.754
Ge 0.750 0.754 0.246
Li 0.517 0.813 0.677
Li 0.983 0.323 0.187
Li 0.483 0.187 0.323
Li 0.017 0.677 0.813

Values from the calculation:
Space group   C2/c, No. 15
Magnetic moment   0.2 μB per cell
V   35.31 Å³/atom
Crystal system   monoclinic

The computed energies, referenced to the most stable structure and given in meV per atom, are arrangement one 39; arrangement two 0.